Entry 1:
Material: SiAsBr2O
Method: DFT, GGA-PBE
State: optimized geometry

Summary:
Symmetry: P4/mmm
Raw formation energy, kJ per mole of atoms: 64.1
Excess energy over the best structure of this formula in the dataset, meV per atom: 0

The structure in POSCAR format:
```
SiAsBr2O
1.0
4.7667 0.0000 0.0000
0.0000 4.7667 0.0000
0.0000 0.0000 4.3863
Si As Br O
1 1 2 1
Direct
0.0000 0.0000 0.0000 Si
0.5000 0.5000 0.0000 As
0.0000 0.5000 0.5000 Br
0.5000 0.0000 0.5000 Br
0.5000 0.5000 0.5000 O
```

=====

Entry 2:
Material: Cs2WAuI6
Method: DFT, GGA-PBE
State: optimized geometry

Summary:
Symmetry: I4/mmm
Raw formation energy, kJ per mole of atoms: -48.2

The structure in POSCAR format:
```
Cs2WAuI6
1.0
-4.1505 4.1505 5.8865
4.1505 -4.1505 5.8865
4.1505 4.1505 -5.8865
Cs W Au I
2 1 1 6
Direct
0.2500 0.7500 0.5000 Cs
0.7500 0.2500 0.5000 Cs
0.0000 0.0000 0.0000 W
0.5000 0.5000 0.0000 Au
0.2402 0.2402 0.0000 I
0.2412 0.2412 0.4823 I
0.2412 0.7588 0.0000 I
0.7588 0.2412 0.0000 I
0.7588 0.7588 0.5177 I
0.7598 0.7598 0.0000 I
```

=====

Entry 3:
Material: YFeRe
Method: DFT, GGA-PBE
State: optimized geometry

Summary:
Symmetry: Cmcm
Formation enthalpy at 0 K, eV/atom: 0.3387
Excess energy over the best structure of this formula in the dataset, meV per atom: 428

The structure in POSCAR format:
```
YFeRe
1.0
2.0240 -5.8077 0.0000
2.0240 5.8077 0.0000
0.0000 0.0000 4.5921
Y Fe Re
2 2 2
Direct
0.0888 0.9112 0.7500 Y
0.9112 0.0888 0.2500 Y
0.2398 0.7602 0.2500 Fe
0.7602 0.2398 0.7500 Fe
0.3711 0.6289 0.7500 Re
0.6289 0.3711 0.2500 Re
```

=====

Magnetization (computed, μB/f.u.): 0.00, 3.00, 1.98
DOS at the Fermi energy (computed, states/eV/atom): 0.338, 0.321, 0.901